## Sr2CuPd (PBE-GGA)

Data for a geometry-optimized Sr2CuPd structure.

Results
E = -3.17 eV/atom
formation enthalpy at 0 K = -0.010 eV/atom
DOS(E_F) = 2.39 states/eV/f.u.

Lattice parameters (Å, degrees): 8.1030 8.1030 7.3256 90.00 90.00 90.00
Last column: nearest neighbours and their distance in Å.
Space group I-42d (No. 122)
Unique sites:
Sr 0.2436 0.7500 0.1250 (multiplicity 8)  2 Pd 2.97, 2 Cu 3.04
Cu 0.0000 0.0000 0.5000 (multiplicity 4)  4 Sr 3.04
Pd 0.0000 0.0000 0.0000 (multiplicity 4)  4 Sr 2.97

## SrCu6Pd6 (PBE-GGA)

Data for a geometry-optimized SrCu6Pd6 structure.

Results
E = -4.64 eV/atom
formation enthalpy at 0 K = -0.225 eV/atom
DOS(E_F) = 5.19 states/eV/f.u.

Lattice parameters (Å, degrees): 5.0200 8.7785 8.9442 90.00 90.00 90.00
Last column: nearest neighbours and their distance in Å.
Space group Immm (No. 71)
Unique sites:
Sr 0.0000 0.0000 0.0000 (multiplicity 2)  8 Pd 3.06-3.13, 12 Cu 3.28-3.38
Cu 0.0000 0.5000 0.2646 (multiplicity 4)  4 Cu 2.53, 6 Pd 2.71-2.76
Cu 0.2500 0.2500 0.2500 (multiplicity 8)  4 Cu 2.51-2.53, 6 Pd 2.60-2.71
Pd 0.0000 0.0000 0.3498 (multiplicity 4)  6 Cu 2.68-2.71, 3 Pd 2.69-2.93
Pd 0.0000 0.2962 0.5000 (multiplicity 4)  6 Cu 2.60-2.76, 2 Pd 2.81
Pd 0.0000 0.3482 0.0000 (multiplicity 4)  3 Pd 2.66-2.81, 6 Cu 2.71-2.72

## Sr2Cu9Pd (PBE-GGA)

Data for a geometry-optimized Sr2Cu9Pd structure.

Results
E = -3.73 eV/atom
formation enthalpy at 0 K = 0.052 eV/atom
DOS(E_F) = 5.05 states/eV/f.u.

Lattice parameters (Å, degrees): 5.1817 5.1817 25.1340 90.00 90.00 120.00
Last column: nearest neighbours and their distance in Å.
Space group R-3m (No. 166, hexagonal axes)
Unique sites:
Sr 0.0000 0.0000 0.1318 (multiplicity 6)  9 Cu 2.94-3.12
Cu 0.0000 0.0000 0.3325 (multiplicity 6)  6 Cu 2.43-2.46
Cu 0.0000 0.0000 0.5000 (multiplicity 3)  6 Cu 2.70
Cu 0.0019 0.5010 0.0769 (multiplicity 18)  7 Cu 2.43-2.70
Pd 0.0000 0.0000 0.0000 (multiplicity 3)  18 Cu 2.99-3.23, 2 Sr 3.31